{
  "formula": "Rb2CrHO4",
  "functional": "PBE+U",
  "state": "optimized geometry",
  "spacegroup": "Fddd",
  "crystal_system": "orthorhombic",
  "dft_energy_ev_per_atom": -5.301,
  "volume_a3_per_atom": 16.59,
  "lattice_angstrom": [[0.000, 5.953, 10.303], [2.164, 0.000, 10.303], [2.164, 5.953, 0.000]],
  "species": ["Rb", "Rb", "Rb", "Rb", "Cr", "Cr", "H", "H", "O", "O", "O", "O", "O", "O", "O", "O"],
  "fractional_positions": [[0.046, 0.046, 0.704], [0.296, 0.296, 0.954], [0.704, 0.704, 0.046], [0.954, 0.954, 0.296], [0.375, 0.375, 0.375], [0.625, 0.625, 0.625], [0.125, 0.125, 0.125], [0.875, 0.875, 0.875], [0.002, 0.337, 0.412], [0.251, 0.588, 0.663], [0.337, 0.002, 0.749], [0.412, 0.749, 0.002], [0.588, 0.251, 0.998], [0.663, 0.998, 0.251], [0.749, 0.412, 0.337], [0.998, 0.663, 0.588]]
}